Cs2CrO3: relaxed, PBE with a Hubbard U.

a b c (Å): 7.1096 7.1096 14.1314
angles (deg): 90.00 90.00 129.57
Last column: nearest neighbours and their distance in Å.
Fractional coordinates of all 24 atoms:
Cs 0.0544 0.9456 0.8586  4 O 3.08-3.14
Cs 0.1367 0.8633 0.4285  7 O 3.08-3.33
Cs 0.3633 0.6367 0.9285  7 O 3.08-3.33
Cs 0.4456 0.5544 0.3586  4 O 3.08-3.14
Cs 0.5544 0.4456 0.6414  4 O 3.08-3.14
Cs 0.6367 0.3633 0.0715  7 O 3.08-3.33
Cs 0.8633 0.1367 0.5715  7 O 3.08-3.33
Cs 0.9456 0.0544 0.1414  4 O 3.08-3.14
Cr 0.2425 0.7575 0.6760  4 O 1.75-1.88
Cr 0.2575 0.7425 0.1760  4 O 1.75-1.88
Cr 0.7425 0.2575 0.8240  4 O 1.75-1.88
Cr 0.7575 0.2425 0.3240  4 O 1.75-1.88
O 0.0226 0.4774 0.7500  2 Cr 1.88
O 0.1088 0.8912 0.6463  1 Cr 1.77
O 0.1789 0.8211 0.0751  1 Cr 1.75
O 0.3211 0.6789 0.5751  1 Cr 1.75
O 0.3912 0.6088 0.1463  1 Cr 1.77
O 0.4774 0.0226 0.2500  2 Cr 1.88
O 0.5226 0.9774 0.7500  2 Cr 1.88
O 0.6088 0.3912 0.8537  1 Cr 1.77
O 0.6789 0.3211 0.4249  1 Cr 1.75
O 0.8211 0.1789 0.9249  1 Cr 1.75
O 0.8912 0.1088 0.3537  1 Cr 1.77
O 0.9774 0.5226 0.2500  2 Cr 1.88

Calculated values
Final energy in eV per cell: -135.07